# 1
This record from Alexandria via LeMat-Bulk describes NaCa2Te2 after structural relaxation. The functional is PBE-GGA.

POSCAR file:
```
NaCa2Te2
1.0
5.3526 0.0000 0.0000
0.0000 5.3526 0.0000
2.6763 2.6763 7.1152
Ca Te Na
2 2 1
Cartesian
5.3526 2.6763 3.5576
2.6763 5.3526 3.5576
5.3526 5.3526 5.1269
2.6763 2.6763 1.9883
0.0000 0.0000 0.0000
```

Properties
symmetry	I4/mmm, No. 139
polymorph energy (0 for the lowest one)	0.94	eV per formula unit
magnetic moment	0.00	μB/atom
energy relative to the elements, uncorrected	-467	kJ/mol of formula units

=====

# 2
This record from Alexandria via LeMat-Bulk describes Li2IrRu after structural relaxation. The functional is PBE-GGA.

POSCAR file:
```
Li2IrRu
1.0
-1.3393 -3.2734 2.9380
1.3197 -3.0370 3.1899
-0.6143 2.8606 3.8000
Ir Li Ru
1 2 1
Cartesian
-0.1863 -0.7227 2.6446
-0.6156 -3.4906 9.7729
-0.4961 -2.5105 7.5919
-0.2868 -1.9007 4.8101
```

Properties
symmetry	Cm, No. 8
polymorph energy (0 for the lowest one)	0.10	eV per formula unit
magnetic moment	0.00	μB/atom

=====

# 3
This record from Alexandria via LeMat-Bulk describes Al3AsW after structural relaxation. The functional is PBE-GGA.

POSCAR file:
```
Al3AsW
1.0
4.6579 0.0000 0.0000
0.0000 4.6579 0.0000
0.0000 0.0000 4.6579
Al W As
3 1 1
Cartesian
0.0000 2.3289 0.0000
0.0000 0.0000 2.3289
2.3289 0.0000 0.0000
2.3289 2.3289 2.3289
0.0000 0.0000 0.0000
```

Properties
symmetry	Pm-3m, No. 221
polymorph energy (0 for the lowest one)	1.96	eV per formula unit
magnetic moment	0.00	μB/atom

=====

# 4
This record from Alexandria via LeMat-Bulk describes Mg2AlOs after structural relaxation. The functional is PBE-GGA.

POSCAR file:
```
Mg2AlOs
1.0
3.4551 0.0000 0.0000
0.0000 3.4551 0.0000
0.0000 0.0000 5.6151
Os Al Mg
1 1 2
Cartesian
1.7275 1.7275 1.4038
1.7275 1.7275 4.2113
0.0000 0.0000 2.6953
0.0000 0.0000 0.1123
```

Properties
symmetry	P4/mmm, No. 123
electronic total energy	-17.5	eV per formula unit
magnetic moment	0.00	μB/atom

=====

# 5
This record from Alexandria via LeMat-Bulk describes Tb6PrTl after structural relaxation. The functional is PBE-GGA.

POSCAR file:
```
Tb6PrTl
1.0
4.9347 0.0000 0.0000
0.0000 4.9347 0.0000
0.0000 0.0000 10.1793
Pr Tb Tl
1 6 1
Cartesian
0.0000 0.0000 0.0000
2.4673 2.4673 5.0896
2.4673 0.0000 7.5558
2.4673 0.0000 2.6235
2.4673 2.4673 0.0000
0.0000 2.4673 7.5558
0.0000 2.4673 2.6235
0.0000 0.0000 5.0896
```

Properties
symmetry	P4/mmm, No. 123
electronic total energy	-35.5	eV per formula unit
magnetic moment	0.00	μB/atom

=====

# 6
This record from Alexandria via LeMat-Bulk describes LaTe2Au2 after structural relaxation. The functional is PBE-GGA.

POSCAR file:
```
LaTe2Au2
1.0
4.0857 0.0000 0.0000
0.0000 4.0857 0.0000
2.0429 2.0429 7.9710
Te Au La
2 2 1
Cartesian
2.0429 2.0429 1.6393
4.0857 4.0857 6.3318
4.0857 2.0429 3.9855
2.0429 4.0857 3.9855
0.0000 0.0000 0.0000
```

Properties
symmetry	I4/mmm, No. 139
polymorph energy (0 for the lowest one)	0.29	eV per formula unit
magnetic moment	0.00	μB/atom
energy relative to the elements, uncorrected	-283	kJ/mol of formula units

=====

# 7
This record from Alexandria via LeMat-Bulk describes PmNdMnTl after structural relaxation. The functional is PBE-GGA.

POSCAR file:
```
PmNdMnTl
1.0
-4.8149 2.1422 1.0525
-4.4637 -2.8612 -0.8772
-2.8942 -1.8048 4.1529
Nd Pm Tl Mn
1 1 1 1
Cartesian
-9.1297 -1.8929 3.2461
-3.0432 -0.6310 1.0820
0.0000 0.0000 0.0000
-6.0864 -1.2619 2.1641
```

Properties
symmetry	F-43m, No. 216
electronic total energy	-21.0	eV per formula unit
magnetic moment	0.83	μB/atom

=====

# 8
This record from Alexandria via LeMat-Bulk describes Nd8ZnSb2 after structural relaxation. The functional is PBE-GGA.

POSCAR file:
```
Nd8ZnSb2
1.0
-4.0472 -2.1506 -2.0003
3.8196 -6.0276 -1.2475
-1.3784 -0.8380 9.9404
Nd Zn Sb
8 1 2
Cartesian
-3.0068 -1.8249 1.7950
-4.4751 -4.3067 7.4343
-0.7745 -4.4038 0.0512
-0.8315 -4.6125 6.6415
-1.4461 -6.1275 3.2634
-0.1598 -2.8888 3.4293
1.4008 -7.1913 4.8976
2.8692 -4.7096 -0.7417
-2.0236 -1.0753 -1.0001
-3.3093 -3.7096 4.4334
1.7033 -5.3067 2.2592
```

Properties
symmetry	C2/m, No. 12
magnetic moment	0.00	μB/atom
energy relative to the elements, uncorrected	-435	kJ/mol of formula units

=====

# 9
This record from Alexandria via LeMat-Bulk describes Pm5Pr2NdMg after structural relaxation. The functional is PBE-GGA.

POSCAR file:
```
Pm5Pr2NdMg
1.0
5.6121 0.0000 0.0000
-2.8060 10.1853 0.0000
0.0000 0.0000 10.8302
Nd Pm Pr Mg
2 10 4 2
Cartesian
0.0000 4.0907 0.0911
2.8060 6.0946 5.5063
0.0000 10.1827 8.2090
2.8060 2.4077 5.5049
2.8060 0.0026 2.7939
0.0000 7.7776 0.0898
2.8060 4.3018 2.2356
0.0000 0.2736 0.0897
2.8060 4.3102 8.7758
0.0000 5.8751 3.3607
2.8060 9.9117 5.5048
0.0000 5.8834 7.6507
0.0000 2.3451 3.2400
2.8060 7.8402 8.6551
0.0000 2.3484 7.7709
2.8060 7.8369 2.3557
0.0000 8.2651 5.4974
2.8060 1.9202 0.0823
```

Properties
symmetry	Cmc2_1, No. 36
electronic total energy	-38.9	eV per formula unit
magnetic moment	0.00	μB/atom

=====

# 10
This record from Alexandria via LeMat-Bulk describes TaInFe2 after structural relaxation. The functional is PBE-GGA.

POSCAR file:
```
TaInFe2
1.0
-0.9868 1.0987 2.3824
0.8720 -2.5732 0.6890
7.4927 2.9996 1.7200
In Fe Ta
1 2 1
Cartesian
1.8158 0.0126 1.9657
7.4274 2.9735 1.7050
3.8117 1.5260 0.8750
5.5621 1.5125 2.8256
```

Properties
symmetry	Cmmm, No. 65
electronic total energy	-30.6	eV per formula unit
magnetic moment	0.92	μB/atom

=====

# 11
This record from Alexandria via LeMat-Bulk describes Y5Hg after structural relaxation. The functional is PBE-GGA.

POSCAR file:
```
Y5Hg
1.0
-3.1036 -1.7446 1.1727
4.5482 -1.0731 4.4499
-0.6328 5.5100 6.5224
Hg Y
1 5
Cartesian
-0.4344 5.1011 6.4393
1.9822 -0.0101 5.2311
-0.7689 1.8778 6.7497
-0.5781 -1.0626 2.8801
-0.1122 2.3373 3.1803
1.7955 2.9211 9.0976
```

Properties
symmetry	Cm, No. 8
polymorph energy (0 for the lowest one)	0.06	eV per formula unit
magnetic moment	0.00	μB/atom

=====

# 12
This record from Alexandria via LeMat-Bulk describes AcAg4Pd8 after structural relaxation. The functional is PBE-GGA.

POSCAR file:
```
AcAg4Pd8
1.0
5.3443 0.0000 0.0000
2.6721 6.6362 0.0000
2.6721 0.0000 6.6362
Ag Pd Ac
4 8 1
Cartesian
4.0082 3.3181 0.0000
1.3361 0.0000 3.3181
1.3361 3.3181 0.0000
4.0082 0.0000 3.3181
8.0164 5.1836 5.1836
5.3443 5.1836 1.4526
5.3443 4.2775 4.2775
2.6721 1.4526 1.4526
5.3443 2.3587 2.3587
5.3443 1.4526 5.1836
2.6721 4.2775 2.3587
2.6721 2.3587 4.2775
0.0000 0.0000 0.0000
```

Properties
symmetry	I4/mmm, No. 139
electronic total energy	-59.6	eV per formula unit
magnetic moment	0.00	μB/atom